Entry 1:
A plane-wave DFT calculation with PBE was carried out for a relaxed Nd3Ni2Sn7 crystal.

The calculation puts the energy at -60.42 eV for the cell shown. Its space group is Cmmm, No. 65.

POSCAR file:
```
Nd3Ni2Sn7
1.0
2.314 -13.766 0.000
2.314 13.766 0.000
0.000 0.000 4.589
Nd Ni Sn
3 2 7
direct
0.000 0.000 0.000
0.315 0.685 0.500
0.685 0.315 0.500
0.128 0.872 0.000
0.872 0.128 0.000
0.090 0.910 0.500
0.219 0.781 0.000
0.410 0.590 0.000
0.500 0.500 0.500
0.590 0.410 0.000
0.781 0.219 0.000
0.910 0.090 0.500
```

Entry 2:
A plane-wave DFT calculation with PBE was carried out for a relaxed CdRePO crystal.

Its space group is Pmc2_1, No. 26. The calculation puts the polymorph energy (0 for the lowest one) at 0.2981 eV/atom.

POSCAR file:
```
CdRePO
1.0
3.846 0.000 0.000
0.000 5.575 0.000
0.000 0.000 6.248
Cd Re P O
2 2 2 2
direct
0.000 0.246 0.000
0.000 0.754 0.500
0.500 0.226 0.412
0.500 0.774 0.912
0.500 0.410 0.738
0.500 0.590 0.238
0.000 0.181 0.407
0.000 0.819 0.907
```

Entry 3:
A plane-wave DFT calculation with PBE was carried out for a relaxed YTm3Ni4 crystal.

For the energy of formation from the pure elements, the calculation gives -378 kJ/mol of formula units. Its space group is Pm, No. 6.

POSCAR file:
```
YTm3Ni4
1.0
5.365 0.000 0.000
0.000 4.127 0.000
-0.016 0.000 6.973
Y Tm Ni
1 3 4
direct
0.000 0.000 0.000
0.261 0.500 0.360
0.500 0.500 0.859
0.761 0.000 0.500
0.005 0.500 0.716
0.256 0.000 0.641
0.505 0.000 0.142
0.754 0.500 0.218
```

Please write out number 1 again, unchanged.
A plane-wave DFT calculation with PBE was carried out for a relaxed Nd3Ni2Sn7 crystal.

The calculation puts the energy at -60.42 eV for the cell shown. Its space group is Cmmm, No. 65.

POSCAR file:
```
Nd3Ni2Sn7
1.0
2.314 -13.766 0.000
2.314 13.766 0.000
0.000 0.000 4.589
Nd Ni Sn
3 2 7
direct
0.000 0.000 0.000
0.315 0.685 0.500
0.685 0.315 0.500
0.128 0.872 0.000
0.872 0.128 0.000
0.090 0.910 0.500
0.219 0.781 0.000
0.410 0.590 0.000
0.500 0.500 0.500
0.590 0.410 0.000
0.781 0.219 0.000
0.910 0.090 0.500
```